[1]
## TbPm6DyHo2 (PBE)

Data for a relaxed structure of TbPm6DyHo2. Values from VASP.

For the density of states at the Fermi level, the calculation gives 14.23 states/eV/f.u. The theoretical density comes out at 7.53 g/cm3. As for the raw total energy: -0.336 Ry/atom. The energy relative to the elements comes out at 117 meV/atom.

Cell and atoms, written as Quantum ESPRESSO input:
```
&SYSTEM
  ibrav = 0, nat = 20, ntyp = 4
/
ATOMIC_SPECIES
Tb 158.93 Tb.upf
Pm 145.00 Pm.upf
Dy 162.50 Dy.upf
Ho 164.93 Ho.upf
ATOMIC_POSITIONS crystal
Tb 0.0276 0.9724 0.7500
Tb 0.9724 0.0276 0.2500
Pm 0.0121 0.5646 0.6860
Pm 0.1171 0.7600 0.0546
Pm 0.2400 0.8829 0.4454
Pm 0.2922 0.5099 0.8813
Pm 0.4354 0.9879 0.8140
Pm 0.4901 0.7078 0.6187
Pm 0.5099 0.2922 0.3813
Pm 0.5646 0.0121 0.1860
Pm 0.7078 0.4901 0.1187
Pm 0.7600 0.1171 0.5546
Pm 0.8829 0.2400 0.9454
Pm 0.9879 0.4354 0.3140
Dy 0.4101 0.5899 0.2500
Dy 0.5899 0.4101 0.7500
Ho 0.2001 0.2990 0.5459
Ho 0.2990 0.2001 0.0459
Ho 0.7010 0.7999 0.9541
Ho 0.7999 0.7010 0.4541
CELL_PARAMETERS angstrom
4.6067 -7.6263 0.0000
4.6067 7.6263 0.0000
-1.2398 0.0000 9.5428
```


[2]
## TbPm2Dy2Ho (PBE)

Data for a relaxed structure of TbPm2Dy2Ho. Values from VASP.

For the density of states at the Fermi level, the calculation gives 9.30 states/eV/f.u. The theoretical density comes out at 8.06 g/cm3. As for the raw total energy: -0.337 Ry/atom. The energy relative to the elements comes out at 65 meV/atom.

Cell and atoms, written as Quantum ESPRESSO input:
```
&SYSTEM
  ibrav = 0, nat = 12, ntyp = 4
/
ATOMIC_SPECIES
Tb 158.93 Tb.upf
Pm 145.00 Pm.upf
Dy 162.50 Dy.upf
Ho 164.93 Ho.upf
ATOMIC_POSITIONS crystal
Tb 0.0000 0.0000 0.0000
Tb 0.5000 0.0000 0.0000
Pm 0.0000 0.5000 0.5000
Pm 0.2500 0.0000 0.3265
Pm 0.5000 0.5000 0.5000
Pm 0.7500 0.0000 0.6735
Dy 0.2500 0.0000 0.6637
Dy 0.2500 0.5000 0.1682
Dy 0.7500 0.0000 0.3363
Dy 0.7500 0.5000 0.8318
Ho 0.2500 0.5000 0.8384
Ho 0.7500 0.5000 0.1616
CELL_PARAMETERS angstrom
6.9912 0.0000 0.0000
0.0000 5.6510 0.0000
0.0000 0.0000 9.7926
```


[3]
## Pm3Dy3HoTe8 (PBE)

Data for a relaxed structure of Pm3Dy3HoTe8. Values from VASP.

For the density of states at the Fermi level, the calculation gives 6.90 states/eV/f.u. The theoretical density comes out at 7.31 g/cm3. As for the raw total energy: -0.386 Ry/atom. For the formation energy without anion corrections, the calculation gives -1.400 eV per atom.

Cell and atoms, written as Quantum ESPRESSO input:
```
&SYSTEM
  ibrav = 0, nat = 15, ntyp = 4
/
ATOMIC_SPECIES
Pm 145.00 Pm.upf
Dy 162.50 Dy.upf
Ho 164.93 Ho.upf
Te 127.60 Te.upf
ATOMIC_POSITIONS crystal
Pm 0.0000 0.5000 0.5000
Pm 0.5000 0.0000 0.5000
Pm 0.5000 0.5000 0.0000
Dy 0.0000 0.0000 0.5000
Dy 0.0000 0.5000 0.0000
Dy 0.5000 0.0000 0.0000
Ho 0.5000 0.5000 0.5000
Te 0.2415 0.7525 0.7525
Te 0.2470 0.2470 0.2470
Te 0.2475 0.2475 0.7585
Te 0.2475 0.7585 0.2475
Te 0.7525 0.2415 0.7525
Te 0.7525 0.7525 0.2415
Te 0.7530 0.7530 0.7530
Te 0.7585 0.2475 0.2475
CELL_PARAMETERS angstrom
4.3830 2.5305 7.1953
-4.3830 2.5305 7.1953
0.0000 -5.0611 7.1953
```


- Which of these has the highest raw total energy?
  TbPm6DyHo2